1.
Entry from Alexandria via LeMat-Bulk: an optimized crystal structure of Pa2InPb (PBE-GGA).

- ΔE_f (eV/atom) = 0.435
- final energy (eV/atom) = -5.93
- relative energy among the computed polymorphs (meV per atom) = 357

a = 7.603 Å, b = 7.603 Å, c = 7.603 Å
α = 33.93°, β = 33.93°, γ = 33.93°
Positions (direct):
Pa 0.247 0.247 0.247
Pa 0.753 0.753 0.753
In 0.500 0.500 0.500
Pb 0.000 0.000 0.000

=====

2.
Entry from Alexandria via LeMat-Bulk: an optimized crystal structure of Mn2CrWC (PBE-GGA).

- ΔE_f (eV/atom) = 0.039
- final energy (eV/atom) = -9.99

a = 3.792 Å, b = 3.792 Å, c = 3.860 Å
α = 90.00°, β = 90.00°, γ = 90.00°
Positions (direct):
Mn 0.000 0.500 0.000
Mn 0.500 0.000 0.000
Cr 0.000 0.000 0.500
W 0.500 0.500 0.500
C 0.000 0.000 0.000

=====

3.
Entry from Alexandria via LeMat-Bulk: an optimized crystal structure of Cs3NaPb2Cl9 (PBE-GGA).

- final energy (eV/atom) = -3.38
- E_form (uncorrected) (eV/atom) = -1.523

a = 7.888 Å, b = 7.888 Å, c = 9.666 Å
α = 90.00°, β = 90.00°, γ = 120.00°
Positions (direct):
Cs 0.000 0.000 0.000
Cs 0.333 0.667 0.654
Cs 0.667 0.333 0.346
Na 0.000 0.000 0.500
Pb 0.333 0.667 0.175
Pb 0.667 0.333 0.825
Cl 0.000 0.500 0.000
Cl 0.169 0.338 0.335
Cl 0.169 0.831 0.335
Cl 0.338 0.169 0.665
Cl 0.500 0.000 0.000
Cl 0.500 0.500 0.000
Cl 0.662 0.831 0.335
Cl 0.831 0.169 0.665
Cl 0.831 0.662 0.665

=====

4.
Entry from Alexandria via LeMat-Bulk: an optimized crystal structure of SrMnBr4 (PBE-GGA).

- final energy (eV/atom) = -4.35
- relative energy among the computed polymorphs (meV per atom) = 1
- E_form (uncorrected) (eV/atom) = -1.422

a = 8.298 Å, b = 8.298 Å, c = 8.298 Å
α = 106.45°, β = 106.45°, γ = 115.71°
Positions (direct):
Sr 0.375 0.625 0.750
Sr 0.625 0.375 0.250
Mn 0.125 0.875 0.250
Mn 0.875 0.125 0.750
Br 0.121 0.685 0.436
Br 0.251 0.315 0.936
Br 0.315 0.251 0.436
Br 0.315 0.879 0.064
Br 0.685 0.121 0.936
Br 0.685 0.749 0.564
Br 0.749 0.685 0.064
Br 0.879 0.315 0.564